i.
! ErTaNO GGA-PBE optimized geometry; values from VASP
! - size of the total moment (μB per cell) = 0.0
! - SG = Pmc2_1
! - density (g cm⁻³) = 10.73
! - V (Å³ per cell) = 117.0
&SYSTEM
  ibrav = 0, nat = 8, ntyp = 4
/
ATOMIC_SPECIES
Er 167.26 Er.upf
N 14.01 N.upf
O 16.00 O.upf
Ta 180.95 Ta.upf
ATOMIC_POSITIONS crystal
Er 0.000 0.536 0.331
Er 0.000 0.036 0.669
N 0.000 0.934 0.297
N 0.000 0.434 0.703
O 0.500 0.319 0.230
O 0.500 0.819 0.770
Ta 0.500 0.965 0.108
Ta 0.500 0.465 0.892
CELL_PARAMETERS angstrom
-1.647 0.263 2.958
5.015 -0.302 2.820
0.499 5.954 -0.251

---

ii.
! ErTaNO GGA-PBE optimized geometry; values from VASP
! - size of the total moment (μB per cell) = 2.8
! - SG = Pca2_1
! - density (g cm⁻³) = 10.68
! - V (Å³ per cell) = 235.3
&SYSTEM
  ibrav = 0, nat = 16, ntyp = 4
/
ATOMIC_SPECIES
Er 167.26 Er.upf
N 14.01 N.upf
O 16.00 O.upf
Ta 180.95 Ta.upf
ATOMIC_POSITIONS crystal
Er 0.566 0.362 0.020
Er 0.066 0.638 0.020
Er 0.934 0.362 0.520
Er 0.434 0.638 0.520
N 0.924 0.354 0.026
N 0.424 0.646 0.026
N 0.576 0.354 0.526
N 0.076 0.646 0.526
O 0.461 0.069 0.133
O 0.961 0.931 0.133
O 0.039 0.069 0.633
O 0.539 0.931 0.633
Ta 0.131 0.159 0.023
Ta 0.631 0.841 0.023
Ta 0.369 0.159 0.523
Ta 0.869 0.841 0.523
CELL_PARAMETERS angstrom
6.243 0.000 0.000
0.000 7.457 0.000
0.000 0.000 5.053

---

iii.
! ErTaNO GGA-PBE optimized geometry; values from VASP
! - size of the total moment (μB per cell) = 0.0
! - SG = P4/nmm
! - density (g cm⁻³) = 10.04
! - V (Å³ per cell) = 125.1
&SYSTEM
  ibrav = 0, nat = 8, ntyp = 4
/
ATOMIC_SPECIES
Er 167.26 Er.upf
N 14.01 N.upf
O 16.00 O.upf
Ta 180.95 Ta.upf
ATOMIC_POSITIONS crystal
Er 0.250 0.250 0.126
Er 0.750 0.750 0.874
N 0.750 0.750 0.415
N 0.250 0.250 0.585
O 0.750 0.250 0.000
O 0.250 0.750 0.000
Ta 0.750 0.250 0.500
Ta 0.250 0.750 0.500
CELL_PARAMETERS angstrom
2.820 -2.820 0.000
2.820 2.820 0.000
0.000 0.000 7.861

---

iv.
! ErTaNO GGA-PBE optimized geometry; values from VASP
! - size of the total moment (μB per cell) = 0.0
! - SG = P4/mmm
! - density (g cm⁻³) = 12.80
! - V (Å³ per cell) = 98.2
&SYSTEM
  ibrav = 0, nat = 8, ntyp = 4
/
ATOMIC_SPECIES
Er 167.26 Er.upf
N 14.01 N.upf
O 16.00 O.upf
Ta 180.95 Ta.upf
ATOMIC_POSITIONS crystal
Er 0.750 0.250 0.500
Er 0.250 0.750 0.500
N 0.250 0.250 0.499
N 0.750 0.750 0.501
O 0.750 0.250 0.000
O 0.250 0.750 0.000
Ta 0.250 0.250 0.000
Ta 0.750 0.750 0.000
CELL_PARAMETERS angstrom
4.703 0.000 0.000
0.000 4.703 0.000
0.000 0.000 4.439

---

Verdict on stability: iv comes out at the bottom.

---

i.
! ErTlNO GGA-PBE optimized geometry; values from VASP
! - size of the total moment (μB per cell) = 0.0
! - SG = Pmc2_1
! - density (g cm⁻³) = 8.88
! - V (Å³ per cell) = 150.2
&SYSTEM
  ibrav = 0, nat = 8, ntyp = 4
/
ATOMIC_SPECIES
Er 167.26 Er.upf
N 14.01 N.upf
O 16.00 O.upf
Tl 204.38 Tl.upf
ATOMIC_POSITIONS crystal
Er 0.000 0.497 0.329
Er 0.000 0.997 0.671
N 0.000 0.866 0.356
N 0.000 0.366 0.644
O 0.500 0.407 0.199
O 0.500 0.907 0.801
Tl 0.500 0.984 0.180
Tl 0.500 0.484 0.820
CELL_PARAMETERS angstrom
-2.660 -1.198 -2.466
-2.802 -2.909 4.435
-3.572 5.351 1.253

---

ii.
! ErTlNO GGA-PBE optimized geometry; values from VASP
! - size of the total moment (μB per cell) = 0.0
! - SG = Pca2_1
! - density (g cm⁻³) = 9.01
! - V (Å³ per cell) = 296.0
&SYSTEM
  ibrav = 0, nat = 16, ntyp = 4
/
ATOMIC_SPECIES
Er 167.26 Er.upf
N 14.01 N.upf
O 16.00 O.upf
Tl 204.38 Tl.upf
ATOMIC_POSITIONS crystal
Er 0.414 0.123 0.497
Er 0.914 0.877 0.497
Er 0.086 0.123 0.997
Er 0.586 0.877 0.997
N 0.401 0.104 0.118
N 0.901 0.896 0.118
N 0.099 0.104 0.618
N 0.599 0.896 0.618
O 0.944 0.370 0.086
O 0.444 0.630 0.086
O 0.556 0.370 0.586
O 0.056 0.630 0.586
Tl 0.584 0.359 0.001
Tl 0.084 0.641 0.001
Tl 0.916 0.359 0.501
Tl 0.416 0.641 0.501
CELL_PARAMETERS angstrom
6.672 0.000 0.000
0.000 7.578 0.000
0.000 0.000 5.854

---

Verdict on stability: ii comes out at the bottom.

---

i.
! ErTlNO GGA-PBE optimized geometry; values from VASP
! - size of the total moment (μB per cell) = 0.0
! - SG = Pca2_1
! - density (g cm⁻³) = 9.87
! - V (Å³ per cell) = 270.3
&SYSTEM
  ibrav = 0, nat = 16, ntyp = 4
/
ATOMIC_SPECIES
Er 167.26 Er.upf
N 14.01 N.upf
O 16.00 O.upf
Tl 204.38 Tl.upf
ATOMIC_POSITIONS crystal
Er 0.000 0.384 0.467
Er 0.500 0.616 0.467
Er 0.500 0.384 0.967
Er 0.000 0.616 0.967
N 0.481 0.135 0.039
N 0.981 0.865 0.039
N 0.019 0.135 0.539
N 0.519 0.865 0.539
O 0.750 0.499 0.214
O 0.250 0.501 0.214
O 0.750 0.499 0.714
O 0.250 0.501 0.714
Tl 0.480 0.125 0.483
Tl 0.980 0.875 0.483
Tl 0.020 0.125 0.983
Tl 0.520 0.875 0.983
CELL_PARAMETERS angstrom
-2.000 0.427 -5.193
5.245 -6.434 -2.550
-3.969 -3.721 1.223

---

ii.
! ErTlNO GGA-PBE optimized geometry; values from VASP
! - size of the total moment (μB per cell) = 0.0
! - SG = P4/nmm
! - density (g cm⁻³) = 10.24
! - V (Å³ per cell) = 130.3
&SYSTEM
  ibrav = 0, nat = 8, ntyp = 4
/
ATOMIC_SPECIES
Er 167.26 Er.upf
N 14.01 N.upf
O 16.00 O.upf
Tl 204.38 Tl.upf
ATOMIC_POSITIONS crystal
Er 0.250 0.250 0.115
Er 0.750 0.750 0.885
N 0.750 0.750 0.317
N 0.250 0.250 0.683
O 0.750 0.250 0.000
O 0.250 0.750 0.000
Tl 0.750 0.250 0.500
Tl 0.250 0.750 0.500
CELL_PARAMETERS angstrom
4.124 0.000 0.000
0.000 4.124 0.000
0.000 0.000 7.659

---

iii.
! ErTlNO GGA-PBE optimized geometry; values from VASP
! - size of the total moment (μB per cell) = 0.0
! - SG = P4/mmm
! - density (g cm⁻³) = 11.12
! - V (Å³ per cell) = 119.9
&SYSTEM
  ibrav = 0, nat = 8, ntyp = 4
/
ATOMIC_SPECIES
Er 167.26 Er.upf
N 14.01 N.upf
O 16.00 O.upf
Tl 204.38 Tl.upf
ATOMIC_POSITIONS crystal
Er 0.750 0.250 0.500
Er 0.250 0.750 0.500
N 0.750 0.750 0.499
N 0.250 0.250 0.501
O 0.750 0.250 0.000
O 0.250 0.750 0.000
Tl 0.250 0.250 0.000
Tl 0.750 0.750 0.000
CELL_PARAMETERS angstrom
3.550 -3.550 0.000
3.550 3.550 0.000
0.000 0.000 4.756

---

Verdict on stability: ii comes out at the bottom.

---

i.
! ErTlNO GGA-PBE optimized geometry; values from VASP
! - size of the total moment (μB per cell) = 0.0
! - SG = P4/nmm
! - density (g cm⁻³) = 11.10
! - V (Å³ per cell) = 120.2
&SYSTEM
  ibrav = 0, nat = 8, ntyp = 4
/
ATOMIC_SPECIES
Er 167.26 Er.upf
N 14.01 N.upf
O 16.00 O.upf
Tl 204.38 Tl.upf
ATOMIC_POSITIONS crystal
Er 0.000 0.000 0.500
Er 0.500 0.500 0.500
N 0.000 0.500 0.498
N 0.500 0.000 0.502
O 0.000 0.000 0.000
O 0.500 0.500 0.000
Tl 0.500 0.000 0.002
Tl 0.000 0.500 0.998
CELL_PARAMETERS angstrom
-1.689 4.745 -0.027
-1.309 -0.439 4.844
4.290 1.535 1.298

---

ii.
! ErTlNO GGA-PBE optimized geometry; values from VASP
! - size of the total moment (μB per cell) = 0.0
! - SG = Pmc2_1
! - density (g cm⁻³) = 8.78
! - V (Å³ per cell) = 151.9
&SYSTEM
  ibrav = 0, nat = 8, ntyp = 4
/
ATOMIC_SPECIES
Er 167.26 Er.upf
N 14.01 N.upf
O 16.00 O.upf
Tl 204.38 Tl.upf
ATOMIC_POSITIONS crystal
Er 0.500 0.000 0.168
Er 0.500 0.500 0.832
N 0.000 0.898 0.323
N 0.000 0.398 0.677
O 0.500 0.351 0.122
O 0.500 0.851 0.878
Tl 0.000 0.505 0.339
Tl 0.000 0.005 0.661
CELL_PARAMETERS angstrom
-1.900 -3.291 0.000
0.000 0.000 6.014
-5.755 3.322 0.000

---

Verdict on stability: i comes out at the bottom.

---

i.
! ErTmNO GGA-PBE optimized geometry; values from VASP
! - size of the total moment (μB per cell) = 0.0
! - SG = Pca2_1
! - density (g cm⁻³) = 9.72
! - V (Å³ per cell) = 250.2
&SYSTEM
  ibrav = 0, nat = 16, ntyp = 4
/
ATOMIC_SPECIES
Er 167.26 Er.upf
N 14.01 N.upf
O 16.00 O.upf
Tm 168.93 Tm.upf
ATOMIC_POSITIONS crystal
Er 0.083 0.128 0.050
Er 0.583 0.872 0.050
Er 0.417 0.128 0.550
Er 0.917 0.872 0.550
N 0.432 0.126 0.050
N 0.932 0.874 0.050
N 0.068 0.126 0.550
N 0.568 0.874 0.550
O 0.905 0.369 0.051
O 0.405 0.631 0.051
O 0.595 0.369 0.551
O 0.095 0.631 0.551
Tm 0.569 0.379 0.051
Tm 0.069 0.621 0.051
Tm 0.931 0.379 0.551
Tm 0.431 0.621 0.551
CELL_PARAMETERS angstrom
6.505 0.000 0.000
0.000 7.951 0.000
0.000 0.000 4.838

---

ii.
! ErTmNO GGA-PBE optimized geometry; values from VASP
! - size of the total moment (μB per cell) = 0.0
! - SG = P4/nmm
! - density (g cm⁻³) = 8.39
! - V (Å³ per cell) = 144.9
&SYSTEM
  ibrav = 0, nat = 8, ntyp = 4
/
ATOMIC_SPECIES
Er 167.26 Er.upf
N 14.01 N.upf
O 16.00 O.upf
Tm 168.93 Tm.upf
ATOMIC_POSITIONS crystal
Er 0.000 0.500 0.090
Er 0.500 0.000 0.910
N 0.500 0.000 0.421
N 0.000 0.500 0.579
O 0.000 0.000 0.000
O 0.500 0.500 0.000
Tm 0.000 0.000 0.500
Tm 0.500 0.500 0.500
CELL_PARAMETERS angstrom
-0.689 1.464 4.028
-3.756 -2.170 0.146
3.655 -6.134 2.855

---

iii.
! ErTmNO GGA-PBE optimized geometry; values from VASP
! - size of the total moment (μB per cell) = 0.0
! - SG = Pmma
! - density (g cm⁻³) = 9.63
! - V (Å³ per cell) = 126.3
&SYSTEM
  ibrav = 0, nat = 8, ntyp = 4
/
ATOMIC_SPECIES
Er 167.26 Er.upf
N 14.01 N.upf
O 16.00 O.upf
Tm 168.93 Tm.upf
ATOMIC_POSITIONS crystal
Er 0.500 0.938 0.164
Er 0.500 0.438 0.836
N 0.000 0.939 0.337
N 0.000 0.439 0.663
O 0.500 0.438 0.178
O 0.500 0.938 0.822
Tm 0.000 0.439 0.333
Tm 0.000 0.939 0.667
CELL_PARAMETERS angstrom
-1.949 -3.376 0.000
0.000 0.000 4.778
-5.875 3.392 0.000

---

Verdict on stability: ii comes out at the bottom.

---

i.
! ErTmNO GGA-PBE optimized geometry; values from VASP
! - size of the total moment (μB per cell) = 0.0
! - SG = Pbcm
! - density (g cm⁻³) = 9.73
! - V (Å³ per cell) = 249.9
&SYSTEM
  ibrav = 0, nat = 16, ntyp = 4
/
ATOMIC_SPECIES
Er 167.26 Er.upf
N 14.01 N.upf
O 16.00 O.upf
Tm 168.93 Tm.upf
ATOMIC_POSITIONS crystal
Er 0.568 0.378 0.051
Er 0.068 0.622 0.051
Er 0.932 0.378 0.551
Er 0.432 0.622 0.551
N 0.430 0.124 0.051
N 0.930 0.876 0.051
N 0.070 0.124 0.551
N 0.570 0.876 0.551
O 0.906 0.365 0.051
O 0.406 0.635 0.051
O 0.594 0.365 0.551
O 0.094 0.635 0.551
Tm 0.084 0.127 0.050
Tm 0.584 0.873 0.050
Tm 0.416 0.127 0.550
Tm 0.916 0.873 0.550
CELL_PARAMETERS angstrom
6.515 0.000 0.000
0.000 7.945 0.000
0.000 0.000 4.828

---

ii.
! ErTmNO GGA-PBE optimized geometry; values from VASP
! - size of the total moment (μB per cell) = 0.0
! - SG = Pmma
! - density (g cm⁻³) = 9.57
! - V (Å³ per cell) = 127.1
&SYSTEM
  ibrav = 0, nat = 8, ntyp = 4
/
ATOMIC_SPECIES
Er 167.26 Er.upf
N 14.01 N.upf
O 16.00 O.upf
Tm 168.93 Tm.upf
ATOMIC_POSITIONS crystal
Er 0.000 0.166 0.438
Er 0.000 0.834 0.938
N 0.000 0.834 0.438
N 0.000 0.166 0.938
O 0.500 0.330 0.438
O 0.500 0.670 0.938
Tm 0.500 0.666 0.439
Tm 0.500 0.334 0.939
CELL_PARAMETERS angstrom
3.905 0.000 0.000
0.000 6.812 0.000
0.000 0.000 4.779

---

Verdict on stability: i comes out at the bottom.

---

i.
! ErZnNO GGA-PBE optimized geometry; values from VASP
! - size of the total moment (μB per cell) = 0.0
! - SG = Pca2_1
! - density (g cm⁻³) = 8.04
! - V (Å³ per cell) = 217.1
&SYSTEM
  ibrav = 0, nat = 16, ntyp = 4
/
ATOMIC_SPECIES
Er 167.26 Er.upf
N 14.01 N.upf
O 16.00 O.upf
Zn 65.41 Zn.upf
ATOMIC_POSITIONS crystal
Er 0.037 0.048 0.146
Er 0.537 0.452 0.146
Er 0.037 0.548 0.854
Er 0.537 0.952 0.854
N 0.552 0.060 0.137
N 0.052 0.440 0.137
N 0.552 0.560 0.863
N 0.052 0.940 0.863
O 0.598 0.597 0.403
O 0.098 0.903 0.403
O 0.598 0.097 0.597
O 0.098 0.403 0.597
Zn 0.016 0.561 0.379
Zn 0.516 0.939 0.379
Zn 0.016 0.061 0.621
Zn 0.516 0.439 0.621
CELL_PARAMETERS angstrom
4.897 0.000 0.000
0.000 5.720 0.000
0.000 0.000 7.748

---

ii.
! ErZnNO GGA-PBE optimized geometry; values from VASP
! - size of the total moment (μB per cell) = 0.0
! - SG = Pmc2_1
! - density (g cm⁻³) = 7.80
! - V (Å³ per cell) = 111.8
&SYSTEM
  ibrav = 0, nat = 8, ntyp = 4
/
ATOMIC_SPECIES
Er 167.26 Er.upf
N 14.01 N.upf
O 16.00 O.upf
Zn 65.41 Zn.upf
ATOMIC_POSITIONS crystal
Er 0.000 0.463 0.307
Er 0.000 0.963 0.693
N 0.000 0.927 0.325
N 0.000 0.427 0.675
O 0.500 0.393 0.140
O 0.500 0.893 0.860
Zn 0.500 0.971 0.193
Zn 0.500 0.471 0.807
CELL_PARAMETERS angstrom
-1.844 -3.194 0.000
0.000 0.000 5.011
-5.239 3.025 0.000

---

Verdict on stability: i comes out at the bottom.

---

i.
! ErZnNO GGA-PBE optimized geometry; values from VASP
! - size of the total moment (μB per cell) = 0.0
! - SG = Pmc2_1
! - density (g cm⁻³) = 7.42
! - V (Å³ per cell) = 117.6
&SYSTEM
  ibrav = 0, nat = 8, ntyp = 4
/
ATOMIC_SPECIES
Er 167.26 Er.upf
N 14.01 N.upf
O 16.00 O.upf
Zn 65.41 Zn.upf
ATOMIC_POSITIONS crystal
Er 0.500 0.002 0.189
Er 0.500 0.502 0.811
N 0.000 0.854 0.347
N 0.000 0.354 0.653
O 0.500 0.391 0.164
O 0.500 0.891 0.836
Zn 0.000 0.507 0.349
Zn 0.000 0.007 0.651
CELL_PARAMETERS angstrom
2.359 2.527 -0.858
4.151 -3.810 0.193
-0.811 -1.171 -5.683

---

ii.
! ErZnNO GGA-PBE optimized geometry; values from VASP
! - size of the total moment (μB per cell) = 0.0
! - SG = Pca2_1
! - density (g cm⁻³) = 7.66
! - V (Å³ per cell) = 227.8
&SYSTEM
  ibrav = 0, nat = 16, ntyp = 4
/
ATOMIC_SPECIES
Er 167.26 Er.upf
N 14.01 N.upf
O 16.00 O.upf
Zn 65.41 Zn.upf
ATOMIC_POSITIONS crystal
Er 0.038 0.363 0.403
Er 0.538 0.637 0.403
Er 0.462 0.363 0.903
Er 0.962 0.637 0.903
N 0.383 0.133 0.166
N 0.883 0.867 0.166
N 0.117 0.133 0.666
N 0.617 0.867 0.666
O 0.755 0.465 0.139
O 0.255 0.535 0.139
O 0.745 0.465 0.639
O 0.245 0.535 0.639
Zn 0.408 0.041 0.494
Zn 0.908 0.959 0.494
Zn 0.092 0.041 0.994
Zn 0.592 0.959 0.994
CELL_PARAMETERS angstrom
-0.384 -2.412 -4.970
4.029 -5.720 2.464
-4.641 -2.576 1.608

---

iii.
! ErZnNO GGA-PBE optimized geometry; values from VASP
! - size of the total moment (μB per cell) = 0.0
! - SG = P4/mmm
! - density (g cm⁻³) = 8.90
! - V (Å³ per cell) = 98.1
&SYSTEM
  ibrav = 0, nat = 8, ntyp = 4
/
ATOMIC_SPECIES
Er 167.26 Er.upf
N 14.01 N.upf
O 16.00 O.upf
Zn 65.41 Zn.upf
ATOMIC_POSITIONS crystal
Er 0.000 0.000 0.500
Er 0.500 0.500 0.500
N 0.500 0.000 0.500
N 0.000 0.500 0.500
O 0.000 0.000 0.000
O 0.500 0.500 0.000
Zn 0.500 0.000 0.000
Zn 0.000 0.500 0.000
CELL_PARAMETERS angstrom
-3.177 -1.279 -3.266
-2.653 -2.007 3.367
-2.122 3.784 0.583

---

iv.
! ErZnNO GGA-PBE optimized geometry; values from VASP
! - size of the total moment (μB per cell) = 0.0
! - SG = P4/nmm
! - density (g cm⁻³) = 8.52
! - V (Å³ per cell) = 102.4
&SYSTEM
  ibrav = 0, nat = 8, ntyp = 4
/
ATOMIC_SPECIES
Er 167.26 Er.upf
N 14.01 N.upf
O 16.00 O.upf
Zn 65.41 Zn.upf
ATOMIC_POSITIONS crystal
Er 0.250 0.250 0.151
Er 0.750 0.750 0.849
N 0.750 0.750 0.353
N 0.250 0.250 0.647
O 0.750 0.250 0.000
O 0.250 0.750 0.000
Zn 0.750 0.250 0.500
Zn 0.250 0.750 0.500
CELL_PARAMETERS angstrom
-1.615 1.702 -2.793
1.358 -2.485 -2.299
-6.281 -4.343 0.985

---

Verdict on stability: iv comes out at the bottom.